# 1
First-principles (PBE-GGA) data for an optimized crystal structure of BaAlGe, as listed in Alexandria.

```
BaAlGe
1.0
3.7937 -2.4520 0.0000
3.7937 2.4520 0.0000
-2.9427 0.0000 10.5145
Ba Al Ge
2 2 2
Cartesian
0.8444 0.0000 3.2118
3.8003 0.0000 7.3027
-1.5997 0.0000 9.9766
6.2445 0.0000 0.5379
3.3662 0.0000 1.2307
1.2786 0.0000 9.2838
```

Values from the calculation:
crystal system = monoclinic
DOS(E_F) = 1.861 states/eV/f.u.
formation energy from the elements = -0.2200 eV per atom
V = 195.62 Å³ per cell

---

# 2
First-principles (PBE-GGA) data for an optimized crystal structure of BaAlGe, as listed in Alexandria.

```
BaAlGe
1.0
4.3850 0.0000 0.0000
-2.1925 3.7976 0.0000
0.0000 0.0000 5.1953
Ba Al Ge
1 1 1
Cartesian
0.0000 0.0000 0.0000
2.1925 1.2659 2.5976
0.0000 2.5317 2.5976
```

Values from the calculation:
crystal system = hexagonal
DOS(E_F) = 1.582 states/eV/f.u.
formation energy from the elements = -0.4741 eV per atom
V = 86.51 Å³ per cell